MnAlS2N | PBE | optimized geometry

a = 4.6807 Å, b = 4.6807 Å, c = 3.4763 Å
α = 90.00°, β = 90.00°, γ = 90.00°
Fractional coordinates of all 5 atoms:
S: 0.5000 0.0000 0.0000
S: 0.0000 0.5000 0.0000
N: 0.0000 0.0000 0.5000
Al: 0.5000 0.5000 0.5000
Mn: 0.0000 0.0000 0.0000

Magnetic moment ... 0.344 μB per atom
Formation energy without anion corrections ... 0.110 eV/atom

---

TbTa2B6 | PBE | optimized geometry

a = 3.2240 Å, b = 5.8234 Å, c = 5.8234 Å
α = 77.02°, β = 73.93°, γ = 73.93°
Fractional coordinates of all 9 atoms:
B: 0.8036 0.4321 0.9608
B: 0.0000 0.8488 0.1512
B: 0.1964 0.5679 0.0392
B: 0.8036 0.9608 0.4321
B: 0.1964 0.0392 0.5679
B: 0.0000 0.1512 0.8488
Ta: 0.3385 0.1615 0.1615
Ta: 0.6615 0.8385 0.8385
Tb: 0.5000 0.5000 0.5000

DFT formation energy ... -0.552 eV/atom
Magnetic moment ... 0.000 μB per atom

---

Pr2SmPaP4 | PBE | optimized geometry

a = 4.1119 Å, b = 7.1050 Å, c = 7.1361 Å
α = 109.38°, β = 90.00°, γ = 90.00°
Fractional coordinates of all 8 atoms:
Pa: 0.5000 0.5000 0.0000
Pr: 0.5000 0.0000 0.5000
Pr: 0.0000 0.5000 0.5000
Sm: 0.0000 0.0000 0.0000
P: 0.0000 0.2622 0.7663
P: 0.5000 0.2549 0.2371
P: 0.5000 0.7451 0.7629
P: 0.0000 0.7378 0.2337

DFT formation energy ... -1.492 eV/atom
Magnetic moment ... 0.000 μB per atom

---

PrCu3P2 | PBE | optimized geometry

a = 3.9385 Å, b = 8.0414 Å, c = 7.6552 Å
α = 56.41°, β = 75.09°, γ = 75.82°
Fractional coordinates of all 12 atoms:
Cu: 0.4007 0.6591 0.5396
Cu: 0.5993 0.3409 0.4604
Cu: 0.6876 0.5656 0.0592
Cu: 0.9459 0.3938 0.7144
Cu: 0.0541 0.6062 0.2856
Cu: 0.3124 0.4344 0.9408
P: 0.2002 0.2953 0.3043
P: 0.7998 0.7047 0.6957
P: 0.5152 0.7944 0.1752
P: 0.4848 0.2056 0.8248
Pr: 0.8585 0.0501 0.2329
Pr: 0.1415 0.9499 0.7671

DFT formation energy ... -0.571 eV/atom
Magnetic moment ... 0.000 μB per atom

---

Si2IO2 | PBE | optimized geometry

a = 3.5314 Å, b = 3.5314 Å, c = 6.4664 Å
α = 74.15°, β = 74.15°, γ = 90.00°
Fractional coordinates of all 5 atoms:
I: 0.0000 0.0000 0.0000
Si: 0.6700 0.6700 0.6599
Si: 0.3300 0.3300 0.3401
O: 0.2500 0.7500 0.5000
O: 0.7500 0.2500 0.5000

Magnetic moment ... 0.000 μB per atom
Formation energy without anion corrections ... -0.820 eV/atom

---

ErTiRh4 | PBE | optimized geometry

a = 3.0272 Å, b = 4.5328 Å, c = 7.5943 Å
α = 90.00°, β = 90.00°, γ = 90.00°
Fractional coordinates of all 6 atoms:
Er: 0.5016 0.4973 0.9982
Rh: 0.5012 0.9971 0.2356
Rh: 0.0014 0.4975 0.6868
Rh: 0.0013 0.4971 0.3098
Rh: 0.5012 0.9974 0.7605
Ti: 0.0011 0.9973 0.4981

DFT formation energy ... -0.360 eV/atom
Magnetic moment ... 0.000 μB per atom

---

Sr4SiPb | PBE | optimized geometry

a = 6.8589 Å, b = 6.8589 Å, c = 6.8589 Å
α = 60.00°, β = 60.00°, γ = 60.00°
Fractional coordinates of all 6 atoms:
Pb: 0.7500 0.7500 0.7500
Sr: 0.8758 0.3747 0.3747
Sr: 0.3747 0.8758 0.3747
Sr: 0.3747 0.3747 0.8758
Sr: 0.3747 0.3747 0.3747
Si: 0.0000 0.0000 0.0000

Magnetic moment ... 0.000 μB per atom
Formation energy without anion corrections ... 0.496 eV/atom

---

CeDy2Tm | PBE | optimized geometry

a = 5.6323 Å, b = 5.6323 Å, c = 5.6323 Å
α = 60.00°, β = 60.00°, γ = 60.00°
Fractional coordinates of all 4 atoms:
Tm: 0.5000 0.5000 0.5000
Dy: 0.7500 0.7500 0.7500
Dy: 0.2500 0.2500 0.2500
Ce: 0.0000 0.0000 0.0000

DFT formation energy ... 0.184 eV/atom
Magnetic moment ... 0.526 μB per atom

---

Which formula does entry 3 have?
Pr2SmPaP4

---

magnetic moment of number 3 (Pr2SmPaP4)?
0.000 μB per atom

---

Which value of magnetic moment does entry 2 give?
0.000 μB per atom